Record 1
The following is a DFT calculation (PBE) of a relaxed structure of Ba2GaBi2.

Summary:
SG ... P4/mbm, No. 127
E above lowest polymorph ... 71.4 meV per atom
Formation energy ... -58.0 kJ/mol of atoms
Raw total energy ... -3.528 eV/atom

a b c (Å): 8.6321 8.6321 5.1645
angles (deg): 90.00 90.00 90.00
Element x y z (fractional)
Ba1 0.1771 0.3229 0.0000
Ba2 0.3229 0.8229 0.0000
Ba3 0.6771 0.1771 0.0000
Ba4 0.8229 0.6771 0.0000
Ga1 0.0000 0.0000 0.5000
Ga2 0.5000 0.5000 0.5000
Bi1 0.1254 0.6254 0.5000
Bi2 0.3746 0.1254 0.5000
Bi3 0.6254 0.8746 0.5000
Bi4 0.8746 0.3746 0.5000

=====

Record 2
The following is a DFT calculation (PBE) of a relaxed structure of BaGa2Bi2.

Summary:
SG ... I4/mmm, No. 139
E above lowest polymorph ... 0.0 meV per atom
Formation energy ... -33.9 kJ/mol of atoms
Raw total energy ... -3.499 eV/atom

a b c (Å): 5.5148 5.5148 10.0986
angles (deg): 90.00 90.00 90.00
Element x y z (fractional)
Ba1 0.0000 0.0000 0.0000
Ba2 0.5000 0.5000 0.5000
Ga1 0.0000 0.0000 0.3716
Ga2 0.0000 0.0000 0.6284
Ga3 0.5000 0.5000 0.1284
Ga4 0.5000 0.5000 0.8716
Bi1 0.0000 0.5000 0.2500
Bi2 0.0000 0.5000 0.7500
Bi3 0.5000 0.0000 0.2500
Bi4 0.5000 0.0000 0.7500

=====

> The highest formation energy belongs to which entry?

BaGa2Bi2

=====

> The lowest raw total energy belongs to which entry?

Ba2GaBi2